No. 1
## MnAlPb2 (PBE)

Data for a relaxed structure of MnAlPb2.

**M_tot**: 11.8 μB per cell
**Uncorrected energy**: -55.89 eV/cell

a b c (Å): 3.5608 3.5608 26.2426
angles (deg): 90.00 90.00 120.00
Last column: nearest neighbours and their distance in Å.
Space group R-3m (No. 166, hexagonal axes)
Inequivalent atoms, fractional coordinates:
Mn: 0.0000 0.0000 0.0000 (multiplicity 3)  6 Pb 2.97
Al: 0.0000 0.0000 0.5000 (multiplicity 3)  6 Pb 3.04
Pb: 0.0000 0.0000 0.2519 (multiplicity 6)  3 Mn 2.97, 3 Al 3.04



No. 2
## Mn2AlPb (PBE)

Data for a relaxed structure of Mn2AlPb.

**M_tot**: 6.2 μB per cell
**Uncorrected energy**: -24.44 eV/cell

a b c (Å): 3.0650 4.3886 5.2204
angles (deg): 90.00 91.87 90.00
Last column: nearest neighbours and their distance in Å.
Space group Pm (No. 6)
Inequivalent atoms, fractional coordinates:
Mn: 0.0000 0.0000 0.0000 (multiplicity 1)  2 Al 2.54-2.66, 2 Mn 2.73, 2 Pb 2.84
Mn: 0.0449 0.5000 0.6915 (multiplicity 1)  4 Al 2.67-2.77, 2 Mn 2.73, 1 Pb 2.95
Al: 0.5103 0.0000 0.5985 (multiplicity 1)  6 Mn 2.54-2.77
Pb: 0.5203 0.5000 0.1921 (multiplicity 1)  8 Mn 2.84-3.11, 2 Al 3.05, 2 Pb 3.07



No. 3
## MnAlPb2 (PBE)

Data for a relaxed structure of MnAlPb2.

**M_tot**: 7.5 μB per cell
**Uncorrected energy**: -38.11 eV/cell

a b c (Å): 11.3408 3.2341 5.3898
angles (deg): 90.00 110.24 90.00
Last column: nearest neighbours and their distance in Å.
Space group Cm (No. 8)
Inequivalent atoms, fractional coordinates:
Mn: 0.0000 0.0000 0.0000 (multiplicity 2)  2 Al 2.67
Al: 0.1864 0.5000 0.2773 (multiplicity 2)  2 Mn 2.67
Pb: 0.2451 0.0000 0.8224 (multiplicity 2)  3 Mn 3.16-3.24, 4 Al 3.19-3.21, 4 Pb 3.23-3.49
Pb: 0.4532 0.0000 0.4750 (multiplicity 2)  4 Mn 3.14-3.22, 3 Al 3.17-3.27, 4 Pb 3.23-3.49



No. 4
## Mn2AlPb (PBE)

Data for a relaxed structure of Mn2AlPb.

**M_tot**: 0.0 μB per cell
**Uncorrected energy**: -91.83 eV/cell

a b c (Å): 3.9788 3.9788 17.6880
angles (deg): 90.00 90.00 90.00
Last column: nearest neighbours and their distance in Å.
Space group I-42d (No. 122)
Inequivalent atoms, fractional coordinates:
Mn: 0.1355 0.2500 0.1250 (multiplicity 8)  2 Mn 2.26, 2 Al 2.48
Al: 0.0000 0.0000 0.0000 (multiplicity 4)  4 Mn 2.48
Pb: 0.0000 0.0000 0.5000 (multiplicity 4)  4 Al 2.81, 4 Mn 2.83



Number 1: energy of formation 0.42 eV/atom. Number 2: energy of formation 0.34 eV/atom. Number 3: energy of formation 0.32 eV/atom. Number 4: energy of formation 0.71 eV/atom.